Material: AcTaGeO6
Method: DFT, PBE-GGA
State: relaxed

## Properties
The value obtained for the theoretical density is 7.92 g/cm3. The value obtained for the formation energy from raw total energies is -2454.5 meV/atom.

Cell: 4.9792 4.9792 9.7567 Å, 90.00 90.00 90.00°
Last column: nearest neighbours and their distance in Å.
Fractional coordinates of all 18 atoms:
Ac  0.0000  0.0000  0.0000  6 O 2.38-2.59
Ac  0.5000  0.5000  0.5000  6 O 2.38-2.59
Ta  0.0000  0.0000  0.6631  6 O 2.00-2.07
Ta  0.5000  0.5000  0.1631  6 O 2.00-2.07
Ge  0.0000  0.0000  0.3274  6 O 1.93-2.01
Ge  0.5000  0.5000  0.8274  6 O 1.93-2.01
O  0.1629  0.1629  0.4862  1 Ge 1.93, 1 Ta 2.07
O  0.2186  0.2186  0.1941  1 Ta 2.00, 1 Ge 2.01
O  0.2241  0.2241  0.7893  1 Ge 1.98, 1 Ta 2.00
O  0.2759  0.7241  0.2893  1 Ge 1.98, 1 Ta 2.00
O  0.2814  0.7186  0.6941  1 Ta 2.00, 1 Ge 2.01
O  0.3371  0.6629  0.9862  1 Ge 1.93, 1 Ta 2.07
O  0.6629  0.3371  0.9862  1 Ge 1.93, 1 Ta 2.07
O  0.7186  0.2814  0.6941  1 Ta 2.00, 1 Ge 2.01
O  0.7241  0.2759  0.2893  1 Ge 1.98, 1 Ta 2.00
O  0.7759  0.7759  0.7893  1 Ge 1.98, 1 Ta 2.00
O  0.7814  0.7814  0.1941  1 Ta 2.00, 1 Ge 2.01
O  0.8371  0.8371  0.4862  1 Ge 1.93, 1 Ta 2.07

***

Material: SrYP2
Method: DFT, PBE-GGA
State: relaxed

## Properties
The value obtained for the theoretical density is 3.85 g/cm3. The calculation puts the formation energy at -1067 meV/atom. The calculation puts the energy above the lowest structure with this stoichiometry at 0.094 eV/atom.

Cell: 4.1715 4.1715 5.9030 Å, 90.00 90.00 90.00°
Last column: nearest neighbours and their distance in Å.
Fractional coordinates of all 4 atoms:
Sr  0.0000  0.0000  0.0000  6 P 2.95
Y  0.5000  0.5000  0.5000  6 P 2.95
P  0.0000  0.0000  0.5000  4 Y 2.95, 2 Sr 2.95
P  0.5000  0.5000  0.0000  4 Sr 2.95, 2 Y 2.95

***

Material: SbTe3
Method: DFT, PBE-GGA
State: relaxed

## Properties
The value obtained for the theoretical density is 5.86 g/cm3. The value obtained for the formation energy from raw total energies is 110.1 meV/atom. The calculation puts the energy above the lowest structure with this stoichiometry at 0.101 eV/atom.

Cell: 4.0755 4.1386 8.4726 Å, 90.00 90.00 90.00°
Last column: nearest neighbours and their distance in Å.
Fractional coordinates of all 4 atoms:
Sb  0.0000  0.0000  0.0000  6 Te 3.10-3.41
Te  0.0000  0.5000  0.3195  4 Te 3.04
Te  0.5000  0.0000  0.4248  4 Te 3.04
Te  0.5000  0.5000  0.8712  4 Sb 3.10